The following is a DFT calculation (GGA-PBE) of an optimized crystal structure of TmFe4Ni.

Unit cell a=4.902 b=4.902 c=4.902 alpha=60.00 beta=60.00 gamma=60.00
Each line ends with the local moment (μB).
Positions (direct):
Fe 0.126 0.625 0.625  2.31
Fe 0.625 0.126 0.625  2.31
Fe 0.625 0.625 0.625  2.31
Fe 0.625 0.625 0.126  2.31
Tm 0.000 0.000 0.000  -0.30
Ni 0.250 0.250 0.250  0.81

Summary:
**Crystal system**: cubic
**Calculated volume**: 83 Å³/cell
**Final energy**: -44.1 eV per cell
**Energy of formation from the pure elements**: -0.001 eV/atom

---

The following is a DFT calculation (GGA-PBE) of an optimized crystal structure of Tm2Zn2FeNi5.

Unit cell a=3.475 b=9.187 c=9.187 alpha=90.00 beta=90.00 gamma=90.00
Each line ends with the local moment (μB).
Positions (direct):
Tm 0.000 0.824 0.676  -0.10
Tm 0.000 0.676 0.176  -0.10
Tm 0.000 0.176 0.324  -0.10
Tm 0.000 0.324 0.824  -0.10
Ni 0.500 0.444 0.305  0.21
Ni 0.500 0.695 0.444  0.21
Ni 0.500 0.056 0.805  0.21
Ni 0.500 0.805 0.944  0.21
Ni 0.500 0.195 0.056  0.21
Ni 0.500 0.000 0.500  0.04
Ni 0.500 0.305 0.556  0.21
Ni 0.500 0.556 0.695  0.21
Ni 0.500 0.944 0.195  0.21
Ni 0.500 0.500 0.000  0.04
Zn 0.000 0.623 0.877  -0.01
Zn 0.000 0.123 0.623  -0.01
Zn 0.000 0.377 0.123  -0.01
Zn 0.000 0.877 0.377  -0.01
Fe 0.000 0.500 0.500  2.93
Fe 0.000 0.000 0.000  2.93

Summary:
**Crystal system**: tetragonal
**Calculated volume**: 293 Å³/cell
**Final energy**: -102.1 eV per cell
**Energy of formation from the pure elements**: -0.218 eV/atom

---

The following is a DFT calculation (GGA-PBE) of an optimized crystal structure of UFeNi.

Unit cell a=4.075 b=5.251 c=4.790 alpha=84.53 beta=100.79 gamma=68.42
Positions (direct):
Fe 0.973 0.278 0.933
Fe 0.027 0.722 0.067
Ni 0.499 0.881 0.285
Ni 0.501 0.119 0.715
U 0.232 0.704 0.694
U 0.768 0.296 0.306

Summary:
**Crystal system**: triclinic
**Calculated volume**: 92 Å³/cell
**Excess energy over the best structure of this formula in the dataset**: 36 meV/atom
**Final energy**: -51.7 eV per cell
**Energy of formation from the pure elements**: -0.112 eV/atom

---

The following is a DFT calculation (GGA-PBE) of an optimized crystal structure of UFeNi.

Unit cell a=3.096 b=4.199 c=4.199 alpha=120.00 beta=90.00 gamma=90.00
Each line ends with the local moment (μB).
Positions (direct):
Fe 0.500 0.333 0.667  -1.81
Ni 0.500 0.667 0.333  -0.29
U 0.000 0.000 0.000  1.97

Summary:
**Crystal system**: hexagonal
**Calculated volume**: 47 Å³/cell
**Excess energy over the best structure of this formula in the dataset**: 253 meV/atom
**Final energy**: -25.2 eV per cell
**Energy of formation from the pure elements**: 0.106 eV/atom

---

The following is a DFT calculation (GGA-PBE) of an optimized crystal structure of UFeNi2.

Unit cell a=4.030 b=3.656 c=3.656 alpha=90.00 beta=90.00 gamma=90.00
Positions (direct):
Fe 0.500 0.000 0.000
U 0.500 0.500 0.500
Ni 0.000 0.500 0.000
Ni 0.000 0.000 0.500

Summary:
**Crystal system**: tetragonal
**Calculated volume**: 54 Å³/cell
**Final energy**: -32.3 eV per cell
**Energy of formation from the pure elements**: -0.234 eV/atom

---

The following is a DFT calculation (GGA-PBE) of an optimized crystal structure of UFe2Ni.

Unit cell a=3.631 b=3.851 c=3.851 alpha=90.00 beta=90.00 gamma=90.00
Each line ends with the local moment (μB).
Positions (direct):
Ni 0.500 0.000 0.000  0.26
U 0.500 0.500 0.500  -1.24
Fe 0.000 0.500 0.000  1.28
Fe 0.000 0.000 0.500  1.28

Summary:
**Crystal system**: tetragonal
**Calculated volume**: 54 Å³/cell
**Final energy**: -34.7 eV per cell
**Energy of formation from the pure elements**: -0.174 eV/atom

---

The following is a DFT calculation (GGA-PBE) of an optimized crystal structure of U12FeNi.

Unit cell a=7.679 b=7.679 c=7.679 alpha=96.52 beta=96.52 gamma=140.60
Positions (direct):
U 0.537 0.651 0.678
U 0.844 0.156 0.500
U 0.656 0.344 0.500
U 0.349 0.463 0.322
U 0.859 0.537 0.886
U 0.141 0.028 0.678
U 0.028 0.349 0.886
U 0.463 0.141 0.114
U 0.972 0.859 0.322
U 0.651 0.972 0.114
U 0.344 0.844 0.688
U 0.156 0.656 0.312
Fe 0.000 0.000 0.000
Ni 0.500 0.500 0.000

Summary:
**Crystal system**: tetragonal
**Calculated volume**: 271 Å³/cell
**Final energy**: -149.8 eV per cell
**Energy of formation from the pure elements**: -0.010 eV/atom

---

The following is a DFT calculation (GGA-PBE) of an optimized crystal structure of U2Fe2Ni15.

Unit cell a=6.369 b=6.369 c=6.369 alpha=81.74 beta=81.74 gamma=81.74
Each line ends with the local moment (μB).
Positions (direct):
Ni 0.656 0.000 0.344  0.43
Ni 0.818 0.332 0.332  0.36
Ni 0.000 0.656 0.344  0.43
Ni 0.668 0.182 0.668  0.36
Ni 0.332 0.818 0.332  0.36
Ni 0.000 0.344 0.656  0.43
Ni 0.344 0.656 0.000  0.43
Ni 0.344 0.000 0.656  0.43
Ni 0.656 0.344 0.000  0.43
Ni 0.000 0.000 0.500  0.20
Ni 0.182 0.668 0.668  0.36
Ni 0.668 0.668 0.182  0.36
Ni 0.000 0.500 0.000  0.20
Ni 0.500 0.000 0.000  0.20
Ni 0.332 0.332 0.818  0.36
U 0.765 0.765 0.765  -0.79
U 0.235 0.235 0.235  -0.79
Fe 0.403 0.403 0.403  1.37
Fe 0.597 0.597 0.597  1.37

Summary:
**Crystal system**: trigonal
**Calculated volume**: 251 Å³/cell
**Final energy**: -125.4 eV per cell
**Energy of formation from the pure elements**: 0.042 eV/atom